# 1
The following is a DFT calculation (GGA-PBE) of a relaxed KMg2In crystal.

Computed properties:
total DFT energy (no corrections) = -1.624 eV per atom
D(E_F) = 2.1 states/eV per cell
ΔE_f = 0.5 eV per formula unit

a = 11.387 Å, b = 11.387 Å, c = 11.387 Å
α = 17.80°, β = 17.80°, γ = 17.80°
Positions (direct):
1 In 0.250 0.250 0.250
2 K 0.750 0.750 0.750
3 Mg 0.988 0.988 0.988
4 Mg 0.512 0.512 0.512

***

# 2
The following is a DFT calculation (GGA-PBE) of a relaxed Tl2CuSnTe4 crystal.

Computed properties:
total DFT energy (no corrections) = -3.349 eV per atom
D(E_F) = 4.0 states/eV per cell

a = 8.006 Å, b = 7.817 Å, c = 7.014 Å
α = 121.97°, β = 122.94°, γ = 92.75°
Positions (direct):
1 Tl 0.490 0.990 0.980
2 Tl 0.127 0.127 0.254
3 Cu 0.747 0.747 0.495
4 Sn 0.997 0.497 0.994
5 Te 0.648 0.578 0.671
6 Te 0.935 0.499 0.356
7 Te 0.420 0.857 0.355
8 Te 0.022 0.093 0.670

***

# 3
The following is a DFT calculation (GGA-PBE) of a relaxed CuBi3H crystal.

Computed properties:
total DFT energy (no corrections) = -3.278 eV per atom
D(E_F) = 3.0 states/eV per cell
energy relative to the lowest polymorph listed for this composition = 0.00 eV per formula unit

a = 4.859 Å, b = 4.859 Å, c = 4.859 Å
α = 90.00°, β = 90.00°, γ = 90.00°
Positions (direct):
1 H 0.000 0.000 0.000
2 Bi 0.000 0.500 0.000
3 Bi 0.000 0.000 0.500
4 Bi 0.500 0.000 0.000
5 Cu 0.500 0.500 0.500

***

# 4
The following is a DFT calculation (GGA-PBE) of a relaxed CeHf2GeO8 crystal.

Computed properties:
total DFT energy (no corrections) = -8.773 eV per atom
D(E_F) = 0.0 states/eV per cell

a = 4.827 Å, b = 4.826 Å, c = 6.538 Å
α = 90.00°, β = 90.00°, γ = 89.02°
Positions (direct):
1 Ce 0.000 0.000 0.500
2 Hf 0.500 0.500 0.763
3 Hf 0.500 0.500 0.237
4 Ge 0.000 0.000 0.000
5 O 0.192 0.808 0.215
6 O 0.704 0.705 0.000
7 O 0.808 0.192 0.215
8 O 0.808 0.192 0.785
9 O 0.296 0.295 0.000
10 O 0.192 0.808 0.785
11 O 0.680 0.681 0.500
12 O 0.320 0.319 0.500

***

# 5
The following is a DFT calculation (GGA-PBE) of a relaxed Ac5Pa2S12 crystal.

Computed properties:
total DFT energy (no corrections) = -6.687 eV per atom
D(E_F) = 3.5 states/eV per cell

a = 7.770 Å, b = 9.015 Å, c = 9.522 Å
α = 105.73°, β = 90.00°, γ = 115.53°
Site moments in Bohr magnetons follow the coordinates.
Positions (direct):
1 Ac 0.298 0.596 0.638  0.00
2 Ac 0.309 0.619 0.172  0.00
3 Ac 0.000 0.000 0.500  0.01
4 Ac 0.691 0.381 0.828  0.00
5 Ac 0.702 0.404 0.362  0.00
6 Pa 0.752 0.000 0.000  0.52
7 Pa 0.248 0.000 0.000  0.52
8 S 0.000 0.999 0.191  -0.01
9 S 0.099 0.661 0.915  -0.01
10 S 0.562 0.661 0.915  -0.01
11 S 0.100 0.698 0.429  0.00
12 S 0.598 0.698 0.429  0.00
13 S 0.499 0.997 0.800  -0.01
14 S 0.501 0.003 0.200  -0.01
15 S 0.900 0.302 0.571  0.00
16 S 0.402 0.302 0.571  0.00
17 S 0.901 0.339 0.085  -0.01
18 S 0.438 0.339 0.085  -0.01
19 S 0.000 0.001 0.809  -0.01

***

# 6
The following is a DFT calculation (GGA-PBE) of a relaxed K2ZrMo crystal.

Computed properties:
total DFT energy (no corrections) = -4.119 eV per atom
D(E_F) = 3.6 states/eV per cell
ΔE_f = 5.1 eV per formula unit
energy relative to the lowest polymorph listed for this composition = 2.31 eV per formula unit

a = 7.136 Å, b = 7.136 Å, c = 7.136 Å
α = 146.37°, β = 146.37°, γ = 48.29°
Site moments in Bohr magnetons follow the coordinates.
Positions (direct):
1 K 0.000 0.000 0.000  -0.02
2 K 0.500 0.500 0.000  -0.02
3 Mo 0.250 0.750 0.500  1.31
4 Zr 0.750 0.250 0.500  -0.43

***

# 7
The following is a DFT calculation (GGA-PBE) of a relaxed InMo2Os crystal.

Computed properties:
total DFT energy (no corrections) = -8.745 eV per atom
D(E_F) = 2.0 states/eV per cell
ΔE_f = 0.7 eV per formula unit

a = 2.864 Å, b = 2.864 Å, c = 8.118 Å
α = 90.00°, β = 90.00°, γ = 90.00°
Positions (direct):
1 In 0.500 0.500 0.750
2 Mo 0.000 0.000 0.026
3 Mo 0.000 0.000 0.474
4 Os 0.500 0.500 0.250

***

# 8
The following is a DFT calculation (GGA-PBE) of a relaxed SmTh2Bi3 crystal.

Computed properties:
total DFT energy (no corrections) = -5.889 eV per atom
D(E_F) = 3.3 states/eV per cell
ΔE_f = -4.1 eV per formula unit
energy relative to the lowest polymorph listed for this composition = 0.00 eV per formula unit

a = 4.578 Å, b = 6.483 Å, c = 7.948 Å
α = 114.07°, β = 106.74°, γ = 90.00°
Positions (direct):
1 Sm 0.500 0.500 0.500
2 Th 0.833 0.833 0.167
3 Th 0.167 0.167 0.833
4 Bi 0.835 0.335 0.170
5 Bi 0.165 0.665 0.830
6 Bi 0.500 0.000 0.500

***

# 9
The following is a DFT calculation (GGA-PBE) of a relaxed TmZn11Ni crystal.

Computed properties:
total DFT energy (no corrections) = -2.064 eV per atom
D(E_F) = 5.2 states/eV per cell
ΔE_f = -2.6 eV per formula unit

a = 5.107 Å, b = 6.737 Å, c = 6.748 Å
α = 81.72°, β = 67.77°, γ = 67.64°
Positions (direct):
1 Tm 0.000 0.000 0.000
2 Zn 0.291 0.218 0.213
3 Zn 0.709 0.782 0.787
4 Zn 0.497 0.782 0.213
5 Zn 0.503 0.218 0.787
6 Zn 0.366 0.643 0.656
7 Zn 0.634 0.357 0.344
8 Zn 0.978 0.357 0.656
9 Zn 0.022 0.643 0.344
10 Zn 0.000 0.500 0.000
11 Zn 0.500 0.000 0.500
12 Zn 0.000 0.000 0.500
13 Ni 0.500 0.500 0.000

***

# 10
The following is a DFT calculation (GGA-PBE) of a relaxed ThTl2Ag2Te4 crystal.

Computed properties:
total DFT energy (no corrections) = -3.969 eV per atom

a = 4.533 Å, b = 8.542 Å, c = 8.424 Å
α = 109.73°, β = 105.61°, γ = 90.00°
Positions (direct):
1 Th 0.000 0.000 0.000
2 Tl 0.136 0.580 0.271
3 Tl 0.864 0.420 0.729
4 Ag 0.684 0.994 0.368
5 Ag 0.316 0.006 0.632
6 Te 0.203 0.212 0.406
7 Te 0.797 0.788 0.594
8 Te 0.512 0.752 0.024
9 Te 0.488 0.248 0.976

***

# 11
The following is a DFT calculation (GGA-PBE) of a relaxed Bi2SbIO crystal.

Computed properties:
total DFT energy (no corrections) = -3.261 eV per atom
D(E_F) = 3.5 states/eV per cell

a = 6.149 Å, b = 3.965 Å, c = 6.149 Å
α = 90.00°, β = 90.00°, γ = 90.00°
Positions (direct):
1 I 0.000 0.000 0.000
2 Sb 0.500 0.500 0.500
3 Bi 0.000 0.000 0.500
4 Bi 0.500 0.000 0.000
5 O 0.000 0.500 0.000

***

# 12
The following is a DFT calculation (GGA-PBE) of a relaxed Al2Fe2B crystal.

Computed properties:
total DFT energy (no corrections) = -5.585 eV per atom
D(E_F) = 3.7 states/eV per cell
ΔE_f = 3.2 eV per formula unit
energy relative to the lowest polymorph listed for this composition = 4.50 eV per formula unit

a = 3.216 Å, b = 3.216 Å, c = 6.867 Å
α = 76.46°, β = 76.46°, γ = 90.00°
Site moments in Bohr magnetons follow the coordinates.
Positions (direct):
1 B 0.000 0.000 0.000  0.06
2 Fe 0.750 0.250 0.500  1.95
3 Fe 0.250 0.750 0.500  1.95
4 Al 0.404 0.404 0.193  -0.04
5 Al 0.596 0.596 0.807  -0.04

***

# 13
The following is a DFT calculation (GGA-PBE) of a relaxed Be2SiAu crystal.

Computed properties:
total DFT energy (no corrections) = -3.547 eV per atom
D(E_F) = 4.2 states/eV per cell

a = 4.211 Å, b = 4.211 Å, c = 4.211 Å
α = 60.00°, β = 60.00°, γ = 60.00°
Positions (direct):
1 Be 0.000 0.000 0.000
2 Be 0.750 0.750 0.750
3 Si 0.250 0.250 0.250
4 Au 0.500 0.500 0.500

***

# 14
The following is a DFT calculation (GGA-PBE) of a relaxed SrIrPb2 crystal.

Computed properties:
total DFT energy (no corrections) = -4.468 eV per atom
D(E_F) = 2.9 states/eV per cell
ΔE_f = 0.1 eV per formula unit

a = 3.602 Å, b = 3.602 Å, c = 7.879 Å
α = 90.00°, β = 90.00°, γ = 89.94°
Positions (direct):
1 Ir 0.500 0.500 0.750
2 Pb 0.000 0.000 0.946
3 Pb 0.000 0.000 0.554
4 Sr 0.500 0.500 0.250

***

# 15
The following is a DFT calculation (GGA-PBE) of a relaxed MnTlPd3 crystal.

Computed properties:
total DFT energy (no corrections) = -4.470 eV per atom
D(E_F) = 3.3 states/eV per cell
ΔE_f = 4.8 eV per formula unit
energy relative to the lowest polymorph listed for this composition = 5.24 eV per formula unit

a = 5.009 Å, b = 5.009 Å, c = 5.009 Å
α = 90.00°, β = 90.00°, γ = 90.00°
Site moments in Bohr magnetons follow the coordinates.
Positions (direct):
1 Tl 0.000 0.000 0.000  0.01
2 Mn 0.500 0.500 0.500  -4.51
3 Pd 0.000 0.500 0.000  0.01
4 Pd 0.000 0.000 0.500  -0.04
5 Pd 0.500 0.000 0.000  -0.01

***

# 16
The following is a DFT calculation (GGA-PBE) of a relaxed ScAg2O crystal.

Computed properties:
total DFT energy (no corrections) = -5.012 eV per atom
D(E_F) = 3.8 states/eV per cell

a = 8.819 Å, b = 8.819 Å, c = 6.544 Å
α = 47.64°, β = 47.64°, γ = 90.00°
Positions (direct):
1 Sc 0.000 0.000 0.000
2 Sc 0.750 0.250 0.500
3 O 0.500 0.500 0.000
4 O 0.250 0.750 0.500
5 Ag 0.523 0.125 0.250
6 Ag 0.227 0.625 0.250
7 Ag 0.375 0.477 0.750
8 Ag 0.875 0.773 0.750

***

# 17
The following is a DFT calculation (GGA-PBE) of a relaxed TbTaTc2 crystal.

Computed properties:
total DFT energy (no corrections) = -9.439 eV per atom
D(E_F) = 3.7 states/eV per cell
ΔE_f = -0.5 eV per formula unit

a = 3.267 Å, b = 3.267 Å, c = 6.796 Å
α = 90.00°, β = 90.00°, γ = 90.00°
Positions (direct):
1 Tb 0.500 0.500 0.500
2 Tc 0.000 0.000 0.779
3 Tc 0.000 0.000 0.221
4 Ta 0.500 0.500 0.000

***

# 18
The following is a DFT calculation (GGA-PBE) of a relaxed Sc2BeSb crystal.

Computed properties:
total DFT energy (no corrections) = -5.181 eV per atom
D(E_F) = 6.1 states/eV per cell
energy relative to the lowest polymorph listed for this composition = 1.68 eV per formula unit

a = 7.381 Å, b = 7.381 Å, c = 6.057 Å
α = 52.46°, β = 52.46°, γ = 90.00°
Positions (direct):
1 Sc 0.590 0.125 0.250
2 Sc 0.160 0.625 0.250
3 Sc 0.375 0.410 0.750
4 Sc 0.875 0.840 0.750
5 Sb 0.000 0.000 0.000
6 Sb 0.750 0.250 0.500
7 Be 0.500 0.500 0.000
8 Be 0.250 0.750 0.500

***

# 19
The following is a DFT calculation (GGA-PBE) of a relaxed DyGa2Fe2Ge crystal.

Computed properties:
total DFT energy (no corrections) = -5.477 eV per atom
D(E_F) = 6.3 states/eV per cell
ΔE_f = -0.7 eV per formula unit

a = 4.388 Å, b = 4.388 Å, c = 5.525 Å
α = 90.00°, β = 90.00°, γ = 90.00°
Site moments in Bohr magnetons follow the coordinates.
Positions (direct):
1 Dy 0.000 0.000 0.500  -0.06
2 Ga 0.500 0.500 0.740  -0.06
3 Ga 0.500 0.500 0.260  -0.06
4 Fe 0.500 0.000 0.000  1.69
5 Fe 0.000 0.500 0.000  1.69
6 Ge 0.000 0.000 0.000  -0.08

***

# 20
The following is a DFT calculation (GGA-PBE) of a relaxed La2PrSc crystal.

Computed properties:
total DFT energy (no corrections) = -5.205 eV per atom
D(E_F) = 4.7 states/eV per cell
ΔE_f = 0.1 eV per formula unit
energy relative to the lowest polymorph listed for this composition = 0.00 eV per formula unit

a = 5.086 Å, b = 5.102 Å, c = 5.102 Å
α = 90.00°, β = 90.00°, γ = 90.00°
Positions (direct):
1 Pr 0.500 0.500 0.500
2 Sc 0.500 0.000 0.000
3 La 0.000 0.000 0.500
4 La 0.000 0.500 0.000

***

# 21
The following is a DFT calculation (GGA-PBE) of a relaxed ZrSb2Os crystal.

Computed properties:
total DFT energy (no corrections) = -7.081 eV per atom
D(E_F) = 1.1 states/eV per cell
energy relative to the lowest polymorph listed for this composition = 0.49 eV per formula unit

a = 6.308 Å, b = 6.308 Å, c = 6.308 Å
α = 145.38°, β = 143.57°, γ = 51.13°
Positions (direct):
1 Os 0.215 0.715 0.500
2 Sb 0.046 0.046 0.000
3 Sb 0.775 0.275 0.500
4 Zr 0.464 0.464 0.000

***

# 22
The following is a DFT calculation (GGA-PBE) of a relaxed PtSe2O crystal.

Computed properties:
total DFT energy (no corrections) = -4.092 eV per atom
D(E_F) = 3.2 states/eV per cell

a = 8.632 Å, b = 8.632 Å, c = 8.632 Å
α = 19.34°, β = 19.34°, γ = 19.34°
Positions (direct):
1 O 0.000 0.000 0.000
2 Se 0.401 0.401 0.401
3 Se 0.599 0.599 0.599
4 Pt 0.500 0.500 0.500

***

# 23
The following is a DFT calculation (GGA-PBE) of a relaxed PrRhPb crystal.

Computed properties:
total DFT energy (no corrections) = -5.877 eV per atom
D(E_F) = 12.4 states/eV per cell
ΔE_f = -1.8 eV per formula unit

a = 3.974 Å, b = 7.976 Å, c = 13.765 Å
α = 90.00°, β = 90.00°, γ = 90.00°
Positions (direct):
1 Pr 0.000 0.220 0.953
2 Pr 0.000 0.780 0.047
3 Pr 0.000 0.220 0.547
4 Pr 0.000 0.780 0.453
5 Pr 0.000 0.150 0.250
6 Pr 0.000 0.850 0.750
7 Rh 0.500 0.063 0.099
8 Rh 0.500 0.937 0.901
9 Rh 0.500 0.063 0.401
10 Rh 0.500 0.937 0.599
11 Rh 0.000 0.551 0.250
12 Rh 0.000 0.449 0.750
13 Pb 0.500 0.428 0.118
14 Pb 0.500 0.572 0.882
15 Pb 0.500 0.428 0.382
16 Pb 0.500 0.572 0.618
17 Pb 0.500 0.807 0.250
18 Pb 0.500 0.193 0.750

***

# 24
The following is a DFT calculation (GGA-PBE) of a relaxed Na2Fe2Sb crystal.

Computed properties:
total DFT energy (no corrections) = -4.385 eV per atom
D(E_F) = 8.9 states/eV per cell
energy relative to the lowest polymorph listed for this composition = 0.00 eV per formula unit

a = 6.558 Å, b = 6.558 Å, c = 5.056 Å
α = 90.00°, β = 90.00°, γ = 90.00°
Site moments in Bohr magnetons follow the coordinates.
Positions (direct):
1 Sb 0.000 0.000 0.000  -0.04
2 Sb 0.500 0.500 0.000  -0.04
3 Fe 0.383 0.883 0.000  2.56
4 Fe 0.883 0.617 0.000  2.56
5 Fe 0.617 0.117 0.000  2.56
6 Fe 0.117 0.383 0.000  2.56
7 Na 0.179 0.679 0.500  -0.01
8 Na 0.679 0.821 0.500  -0.01
9 Na 0.821 0.321 0.500  -0.01
10 Na 0.321 0.179 0.500  -0.01

***

# 25
The following is a DFT calculation (GGA-PBE) of a relaxed BaCdSnHg2 crystal.

Computed properties:
total DFT energy (no corrections) = -1.868 eV per atom
D(E_F) = 1.9 states/eV per cell
ΔE_f = -1.9 eV per formula unit

a = 4.901 Å, b = 4.886 Å, c = 7.132 Å
α = 110.03°, β = 110.10°, γ = 90.00°
Positions (direct):
1 Ba 0.445 0.445 0.889
2 Cd 0.191 0.691 0.382
3 Sn 0.827 0.827 0.654
4 Hg 0.692 0.192 0.385
5 Hg 0.057 0.057 0.114